No. 1
# BaH4O3 GGA-PBE relaxed
# Crystal system: orthorhombic
# E_tot: -42.5 eV/f.u.
# N(E_F): 0.00 states/eV/cell
# Size of the total moment: 0.000 μB/atom
data_BaH4O3
_space_group_name_H-M_alt 'P m c 21'
_space_group_IT_number 26
_space_group_name_Hall 'P 2c -2'
_cell_length_a 3.943
_cell_length_b 6.398
_cell_length_c 7.040
_cell_angle_alpha 90.00
_cell_angle_beta 90.00
_cell_angle_gamma 90.00
loop_
_atom_site_label
_atom_site_type_symbol
_atom_site_fract_x
_atom_site_fract_y
_atom_site_fract_z
Ba1 Ba 0.000 0.143 0.000
H1 H 0.201 0.377 0.565
H2 H 0.500 0.196 0.355
H3 H 0.500 0.485 0.846
O1 O 0.000 0.294 0.616
O2 O 0.500 0.065 0.284
O3 O 0.500 0.467 0.984



No. 2
# SrTlAu2 GGA-PBE relaxed
# Crystal system: tetragonal
# Formation energy from the elements: -38 kJ per mole of atoms
# N(E_F): 3.19 states/eV/cell
# Size of the total moment: 0.000 μB/atom
data_SrTlAu2
_space_group_name_H-M_alt 'I -4 m 2'
_space_group_IT_number 119
_space_group_name_Hall 'I -4 -2'
_cell_length_a 4.569
_cell_length_b 4.569
_cell_length_c 9.725
_cell_angle_alpha 90.00
_cell_angle_beta 90.00
_cell_angle_gamma 90.00
loop_
_atom_site_label
_atom_site_type_symbol
_atom_site_fract_x
_atom_site_fract_y
_atom_site_fract_z
Sr1 Sr 0.000 0.000 0.000
Tl1 Tl 0.000 0.500 0.750
Au1 Au 0.000 0.000 0.500
Au2 Au 0.000 0.500 0.250



No. 3
# La2RhPb GGA-PBE relaxed
# Crystal system: cubic
# Formation energy from the elements: -31 kJ per mole of atoms
# N(E_F): 17.29 states/eV/cell
# Size of the total moment: 0.000 μB/atom
data_La2RhPb
_space_group_name_H-M_alt 'F -4 3 m'
_space_group_IT_number 216
_space_group_name_Hall 'F -4 2 3'
_cell_length_a 7.376
_cell_length_b 7.376
_cell_length_c 7.376
_cell_angle_alpha 90.00
_cell_angle_beta 90.00
_cell_angle_gamma 90.00
loop_
_atom_site_label
_atom_site_type_symbol
_atom_site_fract_x
_atom_site_fract_y
_atom_site_fract_z
La1 La 0.000 0.000 0.000
La2 La 0.250 0.250 0.250
Rh1 Rh 0.250 0.250 0.750
Pb1 Pb 0.000 0.000 0.500



No. 4
# Li2CeMgAu2 GGA-PBE relaxed
# Crystal system: trigonal
# Formation energy from the elements: -46 kJ per mole of atoms
# N(E_F): 8.44 states/eV/cell
# Size of the total moment: 0.171 μB/atom
data_Li2CeMgAu2
_space_group_name_H-M_alt 'P -3 m 1'
_space_group_IT_number 164
_space_group_name_Hall '-P 3 2"'
_cell_length_a 4.5486
_cell_length_b 4.5486
_cell_length_c 6.7591
_cell_angle_alpha 90.00
_cell_angle_beta 90.00
_cell_angle_gamma 120.00
loop_
_atom_site_label
_atom_site_type_symbol
_atom_site_fract_x
_atom_site_fract_y
_atom_site_fract_z
Li1 Li 0.3333 0.6667 0.1722
Ce1 Ce 0.0000 0.0000 0.5000
Mg1 Mg 0.0000 0.0000 0.0000
Au1 Au 0.3333 0.6667 0.7730



No. 5
# Na2TaPd2 GGA-PBE relaxed
# Crystal system: tetragonal
# Formation energy from the elements: 74 kJ per mole of atoms
# N(E_F): 11.09 states/eV/cell
# Size of the total moment: 0.000 μB/atom
data_Na2TaPd2
_space_group_name_H-M_alt 'I 4/m m m'
_space_group_IT_number 139
_space_group_name_Hall '-I 4 2'
_cell_length_a 4.709
_cell_length_b 4.709
_cell_length_c 8.119
_cell_angle_alpha 90.00
_cell_angle_beta 90.00
_cell_angle_gamma 90.00
loop_
_atom_site_label
_atom_site_type_symbol
_atom_site_fract_x
_atom_site_fract_y
_atom_site_fract_z
Na1 Na 0.000 0.000 0.128
Ta1 Ta 0.000 0.000 0.500
Pd1 Pd 0.000 0.500 0.250



No. 6
# SrIr2W GGA-PBE relaxed
# Crystal system: trigonal
# Formation energy from the elements: 3 kJ per mole of atoms
# N(E_F): 8.35 states/eV/cell
# Size of the total moment: 0.000 μB/atom
data_SrIr2W
_space_group_name_H-M_alt 'R -3 m'
_space_group_IT_number 166
_space_group_name_Hall '-R 3 2"'
_cell_length_a 4.3762
_cell_length_b 4.3762
_cell_length_c 16.7853
_cell_angle_alpha 90.00
_cell_angle_beta 90.00
_cell_angle_gamma 120.00
loop_
_atom_site_label
_atom_site_type_symbol
_atom_site_fract_x
_atom_site_fract_y
_atom_site_fract_z
Sr1 Sr 0.0000 0.0000 0.0000
Ir1 Ir 0.0000 0.0000 0.1989
W1 W 0.0000 0.0000 0.5000



No. 7
# BPIrI GGA-PBE relaxed
# Crystal system: triclinic
# E_tot: -21.5 eV/f.u.
# N(E_F): 1.23 states/eV/cell
# Size of the total moment: 0.000 μB/atom
data_BPIrI
_space_group_name_H-M_alt 'P 1'
_space_group_IT_number 1
_space_group_name_Hall 'P 1'
_cell_length_a 3.782
_cell_length_b 3.952
_cell_length_c 6.858
_cell_angle_alpha 91.99
_cell_angle_beta 91.46
_cell_angle_gamma 113.38
loop_
_atom_site_label
_atom_site_type_symbol
_atom_site_fract_x
_atom_site_fract_y
_atom_site_fract_z
B1 B 0.000 0.000 0.000
P1 P 0.794 0.609 0.810
Ir1 Ir 0.143 0.263 0.756
I1 I 0.000 0.058 0.309



No. 8
# Sm2P3PtRh12 GGA-PBE relaxed
# Crystal system: trigonal
# Formation energy from the elements: -15 kJ per mole of atoms
# N(E_F): 57.49 states/eV/cell
# Size of the total moment: 0.000 μB/atom
data_Sm2P3PtRh12
_space_group_name_H-M_alt 'R -3 m'
_space_group_IT_number 166
_space_group_name_Hall '-R 3 2"'
_cell_length_a 8.5088
_cell_length_b 8.5088
_cell_length_c 14.9502
_cell_angle_alpha 90.00
_cell_angle_beta 90.00
_cell_angle_gamma 120.00
loop_
_atom_site_label
_atom_site_type_symbol
_atom_site_fract_x
_atom_site_fract_y
_atom_site_fract_z
Sm1 Sm 0.0000 0.0000 0.1063
P1 P 0.0000 0.5000 0.0000
Pt1 Pt 0.0000 0.0000 0.5000
Rh1 Rh 0.0106 0.5053 0.8532
Rh2 Rh 0.0537 0.5269 0.3604



No. 9
# PrAlHgPd GGA-PBE relaxed
# Crystal system: cubic
# Formation energy from the elements: -47 kJ per mole of atoms
# N(E_F): 6.10 states/eV/cell
# Size of the total moment: 0.000 μB/atom
data_PrAlHgPd
_space_group_name_H-M_alt 'F -4 3 m'
_space_group_IT_number 216
_space_group_name_Hall 'F -4 2 3'
_cell_length_a 7.031
_cell_length_b 7.031
_cell_length_c 7.031
_cell_angle_alpha 90.00
_cell_angle_beta 90.00
_cell_angle_gamma 90.00
loop_
_atom_site_label
_atom_site_type_symbol
_atom_site_fract_x
_atom_site_fract_y
_atom_site_fract_z
Pr1 Pr 0.000 0.000 0.000
Al1 Al 0.000 0.000 0.500
Hg1 Hg 0.250 0.250 0.750
Pd1 Pd 0.250 0.250 0.250



No. 10
# Pm4Tl2Ir GGA-PBE relaxed
# Crystal system: monoclinic
# Formation energy from the elements: -42 kJ per mole of atoms
# N(E_F): 12.08 states/eV/cell
# Size of the total moment: 0.000 μB/atom
data_Pm4Tl2Ir
_space_group_name_H-M_alt 'C 1 2/m 1'
_space_group_IT_number 12
_space_group_name_Hall '-C 2y'
_cell_length_a 11.592
_cell_length_b 4.750
_cell_length_c 9.002
_cell_angle_alpha 90.00
_cell_angle_beta 123.36
_cell_angle_gamma 90.00
loop_
_atom_site_label
_atom_site_type_symbol
_atom_site_fract_x
_atom_site_fract_y
_atom_site_fract_z
Pm1 Pm 0.073 0.000 0.354
Pm2 Pm 0.169 0.500 0.059
Tl1 Tl 0.152 0.500 0.669
Ir1 Ir 0.000 0.000 0.000



No. 11
# Pr2Ho2Al GGA-PBE relaxed
# Crystal system: tetragonal
# Formation energy from the elements: -14 kJ per mole of atoms
# N(E_F): 10.95 states/eV/cell
# Size of the total moment: 0.000 μB/atom
data_Pr2Ho2Al
_space_group_name_H-M_alt 'I 4/m m m'
_space_group_IT_number 139
_space_group_name_Hall '-I 4 2'
_cell_length_a 3.563
_cell_length_b 3.563
_cell_length_c 23.733
_cell_angle_alpha 90.00
_cell_angle_beta 90.00
_cell_angle_gamma 90.00
loop_
_atom_site_label
_atom_site_type_symbol
_atom_site_fract_x
_atom_site_fract_y
_atom_site_fract_z
Pr1 Pr 0.000 0.000 0.190
Ho1 Ho 0.000 0.000 0.421
Al1 Al 0.000 0.000 0.000



No. 12
# GaBiF3 GGA-PBE relaxed
# Crystal system: cubic
# E_tot: -20.5 eV/f.u.
# N(E_F): 4.34 states/eV/cell
# Size of the total moment: 0.000 μB/atom
data_GaBiF3
_space_group_name_H-M_alt 'P m -3 m'
_space_group_IT_number 221
_space_group_name_Hall '-P 4 2 3'
_cell_length_a 4.720
_cell_length_b 4.720
_cell_length_c 4.720
_cell_angle_alpha 90.00
_cell_angle_beta 90.00
_cell_angle_gamma 90.00
loop_
_atom_site_label
_atom_site_type_symbol
_atom_site_fract_x
_atom_site_fract_y
_atom_site_fract_z
Ga1 Ga 0.000 0.000 0.000
Bi1 Bi 0.500 0.500 0.500
F1 F 0.000 0.500 0.500



No. 13
# Y2TlPb2 GGA-PBE relaxed
# Crystal system: orthorhombic
# Formation energy from the elements: -21 kJ per mole of atoms
# N(E_F): 8.69 states/eV/cell
# Size of the total moment: 0.001 μB/atom
data_Y2TlPb2
_space_group_name_H-M_alt 'C m m m'
_space_group_IT_number 65
_space_group_name_Hall '-C 2 2'
_cell_length_a 5.104
_cell_length_b 17.629
_cell_length_c 3.617
_cell_angle_alpha 90.00
_cell_angle_beta 90.00
_cell_angle_gamma 90.00
loop_
_atom_site_label
_atom_site_type_symbol
_atom_site_fract_x
_atom_site_fract_y
_atom_site_fract_z
Y1 Y 0.000 0.180 0.000
Tl1 Tl 0.000 0.000 0.000
Pb1 Pb 0.000 0.358 0.500



No. 14
# SnGe6 GGA-PBE relaxed
# Crystal system: cubic
# Formation energy from the elements: 32 kJ per mole of atoms
# N(E_F): 8.68 states/eV/cell
# Size of the total moment: 0.000 μB/atom
data_SnGe6
_space_group_name_H-M_alt 'I m -3 m'
_space_group_IT_number 229
_space_group_name_Hall '-I 4 2 3'
_cell_length_a 7.064
_cell_length_b 7.064
_cell_length_c 7.064
_cell_angle_alpha 90.00
_cell_angle_beta 90.00
_cell_angle_gamma 90.00
loop_
_atom_site_label
_atom_site_type_symbol
_atom_site_fract_x
_atom_site_fract_y
_atom_site_fract_z
Sn1 Sn 0.000 0.000 0.000
Ge1 Ge 0.000 0.250 0.500



No. 15
# ZnInTc2 GGA-PBE relaxed
# Crystal system: tetragonal
# Formation energy from the elements: 23 kJ per mole of atoms
# N(E_F): 5.83 states/eV/cell
# Size of the total moment: 0.000 μB/atom
data_ZnInTc2
_space_group_name_H-M_alt 'I -4 m 2'
_space_group_IT_number 119
_space_group_name_Hall 'I -4 -2'
_cell_length_a 4.240
_cell_length_b 4.240
_cell_length_c 7.046
_cell_angle_alpha 90.00
_cell_angle_beta 90.00
_cell_angle_gamma 90.00
loop_
_atom_site_label
_atom_site_type_symbol
_atom_site_fract_x
_atom_site_fract_y
_atom_site_fract_z
Zn1 Zn 0.000 0.000 0.000
In1 In 0.000 0.500 0.750
Tc1 Tc 0.000 0.000 0.500
Tc2 Tc 0.000 0.500 0.250



No. 16
# DyTmTh2Te5 GGA-PBE relaxed
# Crystal system: tetragonal
# E_tot: -44.5 eV/f.u.
# N(E_F): 8.68 states/eV/cell
# Size of the total moment: 0.000 μB/atom
data_DyTmTh2Te5
_space_group_name_H-M_alt 'P 4/m m m'
_space_group_IT_number 123
_space_group_name_Hall '-P 4 2'
_cell_length_a 5.380
_cell_length_b 5.380
_cell_length_c 11.534
_cell_angle_alpha 90.00
_cell_angle_beta 90.00
_cell_angle_gamma 90.00
loop_
_atom_site_label
_atom_site_type_symbol
_atom_site_fract_x
_atom_site_fract_y
_atom_site_fract_z
Dy1 Dy 0.000 0.000 0.000
Tm1 Tm 0.000 0.000 0.500
Th1 Th 0.500 0.500 0.336
Te1 Te 0.000 0.000 0.247
Te2 Te 0.000 0.500 0.500
Te3 Te 0.500 0.500 0.000



No. 17
# ZrGa2Pd2 GGA-PBE relaxed
# Crystal system: monoclinic
# Formation energy from the elements: -61 kJ per mole of atoms
# N(E_F): 4.88 states/eV/cell
# Size of the total moment: 0.000 μB/atom
data_ZrGa2Pd2
_space_group_name_H-M_alt 'P 1 21/m 1'
_space_group_IT_number 11
_space_group_name_Hall '-P 2yb'
_cell_length_a 4.506
_cell_length_b 3.133
_cell_length_c 11.928
_cell_angle_alpha 90.00
_cell_angle_beta 90.08
_cell_angle_gamma 90.00
loop_
_atom_site_label
_atom_site_type_symbol
_atom_site_fract_x
_atom_site_fract_y
_atom_site_fract_z
Zr1 Zr 0.249 0.250 0.253
Ga1 Ga 0.249 0.750 0.035
Ga2 Ga 0.251 0.250 0.641
Pd1 Pd 0.250 0.750 0.464
Pd2 Pd 0.251 0.250 0.855



No. 18
# Pr2Be3AgPt4 GGA-PBE relaxed
# Crystal system: tetragonal
# Formation energy from the elements: -71 kJ per mole of atoms
# N(E_F): 3.30 states/eV/cell
# Size of the total moment: 0.000 μB/atom
data_Pr2Be3AgPt4
_space_group_name_H-M_alt 'P -4 m 2'
_space_group_IT_number 115
_space_group_name_Hall 'P -4 -2'
_cell_length_a 4.082
_cell_length_b 4.082
_cell_length_c 10.508
_cell_angle_alpha 90.00
_cell_angle_beta 90.00
_cell_angle_gamma 90.00
loop_
_atom_site_label
_atom_site_type_symbol
_atom_site_fract_x
_atom_site_fract_y
_atom_site_fract_z
Pr1 Pr 0.000 0.500 0.240
Be1 Be 0.000 0.500 0.890
Be2 Be 0.500 0.500 0.500
Ag1 Ag 0.000 0.000 0.500
Pt1 Pt 0.000 0.000 0.000
Pt2 Pt 0.000 0.500 0.667
Pt3 Pt 0.500 0.500 0.000



No. 19
# ErTl2IO6 GGA-PBE relaxed
# Crystal system: trigonal
# E_tot: -52.3 eV/f.u.
# N(E_F): 0.00 states/eV/cell
# Size of the total moment: 0.000 μB/atom
data_ErTl2IO6
_space_group_name_H-M_alt 'P -3 m 1'
_space_group_IT_number 164
_space_group_name_Hall '-P 3 2"'
_cell_length_a 6.5397
_cell_length_b 6.5397
_cell_length_c 5.8379
_cell_angle_alpha 90.00
_cell_angle_beta 90.00
_cell_angle_gamma 120.00
loop_
_atom_site_label
_atom_site_type_symbol
_atom_site_fract_x
_atom_site_fract_y
_atom_site_fract_z
Er1 Er 0.0000 0.0000 0.0000
Tl1 Tl 0.3333 0.6667 0.5706
I1 I 0.0000 0.0000 0.5000
O1 O 0.1338 0.2676 0.2977



No. 20
# Mn2TeHRh GGA-PBE relaxed
# Crystal system: tetragonal
# E_tot: -31.9 eV/f.u.
# N(E_F): 5.02 states/eV/cell
# Size of the total moment: 1.446 μB/atom
data_Mn2TeHRh
_space_group_name_H-M_alt 'P 4/m m m'
_space_group_IT_number 123
_space_group_name_Hall '-P 4 2'
_cell_length_a 4.054
_cell_length_b 4.054
_cell_length_c 4.014
_cell_angle_alpha 90.00
_cell_angle_beta 90.00
_cell_angle_gamma 90.00
loop_
_atom_site_label
_atom_site_type_symbol
_atom_site_fract_x
_atom_site_fract_y
_atom_site_fract_z
Mn1 Mn 0.000 0.500 0.000
Te1 Te 0.000 0.000 0.500
H1 H 0.500 0.500 0.000
Rh1 Rh 0.500 0.500 0.500